SiAs | GGA-PBEsol | relaxed

Output
E_tot = -20.9 eV/cell
Uncorrected formation energy = 0.2099 eV/atom
SG = R-3m (166)

Structure (CIF):
```
data_SiAs
_symmetry_space_group_name_H-M 'P 1'
_symmetry_Int_Tables_number 1
_cell_length_a 4.286
_cell_length_b 4.286
_cell_length_c 5.985
_cell_angle_alpha 69.02
_cell_angle_beta 69.02
_cell_angle_gamma 60.00
loop_
_symmetry_equiv_pos_as_xyz
'x,y,z'
loop_
_atom_site_label
_atom_site_type_symbol
_atom_site_fract_x
_atom_site_fract_y
_atom_site_fract_z
As1 As 0.172 0.172 0.483
As2 As 0.828 0.828 0.517
Si1 Si 0.319 0.319 0.042
Si2 Si 0.681 0.681 0.958
```

---

YSi2SnAs | GGA-PBEsol | relaxed

Output
E_tot = -23.6 eV/cell
Uncorrected formation energy = 0.8205 eV/atom
SG = P4/mmm (123)

Structure (CIF):
```
data_YSi2SnAs
_symmetry_space_group_name_H-M 'P 1'
_symmetry_Int_Tables_number 1
_cell_length_a 4.897
_cell_length_b 4.897
_cell_length_c 5.775
_cell_angle_alpha 90.00
_cell_angle_beta 90.00
_cell_angle_gamma 90.00
loop_
_symmetry_equiv_pos_as_xyz
'x,y,z'
loop_
_atom_site_label
_atom_site_type_symbol
_atom_site_fract_x
_atom_site_fract_y
_atom_site_fract_z
Y1 Y 0.000 0.000 0.500
As1 As 0.500 0.500 0.500
Si1 Si 0.000 0.500 0.000
Si2 Si 0.500 0.000 0.000
Sn1 Sn 0.000 0.000 0.000
```

---

SrSiAs2 | GGA-PBEsol | relaxed

Output
E_tot = -40.5 eV/cell
Uncorrected formation energy = -0.6098 eV/atom
SG = I-42d (122)

Structure (CIF):
```
data_SrSiAs2
_symmetry_space_group_name_H-M 'P 1'
_symmetry_Int_Tables_number 1
_cell_length_a 6.376
_cell_length_b 6.376
_cell_length_c 6.376
_cell_angle_alpha 104.02
_cell_angle_beta 112.27
_cell_angle_gamma 112.27
loop_
_symmetry_equiv_pos_as_xyz
'x,y,z'
loop_
_atom_site_label
_atom_site_type_symbol
_atom_site_fract_x
_atom_site_fract_y
_atom_site_fract_z
Sr1 Sr 0.500 0.750 0.250
Sr2 Sr 0.000 0.000 0.000
As1 As 0.917 0.542 0.125
As2 As 0.083 0.208 0.625
As3 As 0.417 0.875 0.792
As4 As 0.583 0.375 0.458
Si1 Si 0.500 0.250 0.750
Si2 Si 0.000 0.500 0.500
```

---

Sr3Si2As4 | GGA-PBEsol | relaxed

Output
E_tot = -89.9 eV/cell
Uncorrected formation energy = -0.8359 eV/atom
SG = C2/c (15)

Structure (CIF):
```
data_Sr3Si2As4
_symmetry_space_group_name_H-M 'P 1'
_symmetry_Int_Tables_number 1
_cell_length_a 7.334
_cell_length_b 8.096
_cell_length_c 9.550
_cell_angle_alpha 108.01
_cell_angle_beta 104.92
_cell_angle_gamma 107.37
loop_
_symmetry_equiv_pos_as_xyz
'x,y,z'
loop_
_atom_site_label
_atom_site_type_symbol
_atom_site_fract_x
_atom_site_fract_y
_atom_site_fract_z
As1 As 0.771 0.050 0.607
As2 As 0.336 0.557 0.607
As3 As 0.229 0.950 0.393
As4 As 0.664 0.443 0.393
As5 As 0.441 0.189 0.870
As6 As 0.929 0.681 0.870
As7 As 0.559 0.811 0.130
As8 As 0.071 0.319 0.130
Si1 Si 0.486 0.831 0.358
Si2 Si 0.371 0.527 0.358
Si3 Si 0.514 0.169 0.642
Si4 Si 0.629 0.473 0.642
Sr1 Sr 0.936 0.186 0.372
Sr2 Sr 0.064 0.814 0.628
Sr3 Sr 0.184 0.434 0.868
Sr4 Sr 0.816 0.566 0.132
Sr5 Sr 0.309 0.059 0.118
Sr6 Sr 0.691 0.941 0.882
```

---

Sr4SiAs4 | GGA-PBEsol | relaxed

Output
E_tot = -342.4 eV/cell
Uncorrected formation energy = -1.0298 eV/atom
SG = P-43n (218)

Structure (CIF):
```
data_Sr4SiAs4
_symmetry_space_group_name_H-M 'P 1'
_symmetry_Int_Tables_number 1
_cell_length_a 12.655
_cell_length_b 12.655
_cell_length_c 12.655
_cell_angle_alpha 90.00
_cell_angle_beta 90.00
_cell_angle_gamma 90.00
loop_
_symmetry_equiv_pos_as_xyz
'x,y,z'
loop_
_atom_site_label
_atom_site_type_symbol
_atom_site_fract_x
_atom_site_fract_y
_atom_site_fract_z
As1 As 0.148 0.117 0.393
As2 As 0.852 0.883 0.393
As3 As 0.852 0.117 0.607
As4 As 0.148 0.883 0.607
As5 As 0.393 0.148 0.117
As6 As 0.393 0.852 0.883
As7 As 0.607 0.852 0.117
As8 As 0.607 0.148 0.883
As9 As 0.117 0.393 0.148
As10 As 0.883 0.393 0.852
As11 As 0.117 0.607 0.852
As12 As 0.883 0.607 0.148
As13 As 0.617 0.648 0.893
As14 As 0.383 0.352 0.893
As15 As 0.617 0.352 0.107
As16 As 0.383 0.648 0.107
As17 As 0.648 0.893 0.617
As18 As 0.352 0.893 0.383
As19 As 0.352 0.107 0.617
As20 As 0.648 0.107 0.383
As21 As 0.893 0.617 0.648
As22 As 0.893 0.383 0.352
As23 As 0.107 0.617 0.352
As24 As 0.107 0.383 0.648
As25 As 0.391 0.391 0.391
As26 As 0.609 0.609 0.391
As27 As 0.609 0.391 0.609
As28 As 0.391 0.609 0.609
As29 As 0.891 0.891 0.891
As30 As 0.109 0.109 0.891
As31 As 0.891 0.109 0.109
As32 As 0.109 0.891 0.109
Si1 Si 0.250 0.000 0.500
Si2 Si 0.750 0.000 0.500
Si3 Si 0.500 0.250 0.000
Si4 Si 0.500 0.750 0.000
Si5 Si 0.000 0.500 0.250
Si6 Si 0.000 0.500 0.750
Si7 Si 0.000 0.000 0.000
Si8 Si 0.500 0.500 0.500
Sr1 Sr 0.403 0.144 0.368
Sr2 Sr 0.597 0.856 0.368
Sr3 Sr 0.597 0.144 0.632
Sr4 Sr 0.403 0.856 0.632
Sr5 Sr 0.368 0.403 0.144
Sr6 Sr 0.368 0.597 0.856
Sr7 Sr 0.632 0.597 0.144
Sr8 Sr 0.632 0.403 0.856
Sr9 Sr 0.144 0.368 0.403
Sr10 Sr 0.856 0.368 0.597
Sr11 Sr 0.144 0.632 0.597
Sr12 Sr 0.856 0.632 0.403
Sr13 Sr 0.644 0.903 0.868
Sr14 Sr 0.356 0.097 0.868
Sr15 Sr 0.644 0.097 0.132
Sr16 Sr 0.356 0.903 0.132
Sr17 Sr 0.903 0.868 0.644
Sr18 Sr 0.097 0.868 0.356
Sr19 Sr 0.097 0.132 0.644
Sr20 Sr 0.903 0.132 0.356
Sr21 Sr 0.868 0.644 0.903
Sr22 Sr 0.868 0.356 0.097
Sr23 Sr 0.132 0.644 0.097
Sr24 Sr 0.132 0.356 0.903
Sr25 Sr 0.644 0.644 0.644
Sr26 Sr 0.356 0.356 0.644
Sr27 Sr 0.356 0.644 0.356
Sr28 Sr 0.644 0.356 0.356
Sr29 Sr 0.144 0.144 0.144
Sr30 Sr 0.856 0.856 0.144
Sr31 Sr 0.144 0.856 0.856
Sr32 Sr 0.856 0.144 0.856
```

---

SrSiAs2 | GGA-PBEsol | relaxed

Output
E_tot = -18.6 eV/cell
Uncorrected formation energy = -0.2012 eV/atom
SG = P4mm (99)

Structure (CIF):
```
data_SrSiAs2
_symmetry_space_group_name_H-M 'P 1'
_symmetry_Int_Tables_number 1
_cell_length_a 3.756
_cell_length_b 3.756
_cell_length_c 6.235
_cell_angle_alpha 90.00
_cell_angle_beta 90.00
_cell_angle_gamma 89.98
loop_
_symmetry_equiv_pos_as_xyz
'x,y,z'
loop_
_atom_site_label
_atom_site_type_symbol
_atom_site_fract_x
_atom_site_fract_y
_atom_site_fract_z
Sr1 Sr 0.500 0.500 0.237
As1 As 0.000 0.000 0.960
As2 As 0.500 0.500 0.722
Si1 Si 0.000 0.000 0.582
```

---

Question: Which of these has the highest uncorrected formation energy?
Answer: YSi2SnAs